Below is an optimized crystal structure of LiLuAu, with properties calculated at the PBE level.

```
LiLuAu
1.0
-0.7388 1.6421 3.1463
0.3931 -3.1561 1.7395
4.5789 1.6261 -1.8618
Li Au Lu
1 1 1
Cartesian
2.6125 0.5153 0.3445
3.7614 0.0190 2.9618
0.7707 -0.5709 2.5674
```

V ... 19.8 Å³/atom
Energy relative to the elements ... -1.687 eV/f.u.
Energy relative to the lowest polymorph listed for this composition ... 0 meV per atom
Final energy ... -11.40 eV per cell
M_tot ... 0.000 μB/atom